Material: BiWN3
Method: DFT, PBE-GGA
State: relaxed

* crystal system: tetragonal
* symmetry: P4mm (99)
* final energy: -41.42 eV/cell

Cell: 3.865 3.865 4.701 Å, 90.00 90.00 90.00°
Element x y z (fractional)
W 0.500 0.500 0.427
N 0.000 0.500 0.299
N 0.500 0.500 0.805
N 0.500 0.000 0.299
Bi 0.000 0.000 0.003